Record 1
{
  "formula": "SrSn",
  "functional": "PBE",
  "state": "relaxed",
  "lattice": [[4.549, 0.000, 0.000], [0.000, 5.102, 0.000], [0.000, 0.000, 17.844]],
  "species": ["Sr", "Sr", "Sr", "Sr", "Sr", "Sr", "Sn", "Sn", "Sn", "Sn", "Sn", "Sn"],
  "frac_coords": [[0.500, 0.000, 0.176], [0.500, 0.000, 0.824], [0.000, 0.500, 0.676], [0.000, 0.500, 0.324], [0.000, 0.000, 0.000], [0.500, 0.500, 0.500], [0.500, 0.000, 0.370], [0.500, 0.000, 0.630], [0.000, 0.500, 0.870], [0.000, 0.500, 0.130], [0.500, 0.500, 0.000], [0.000, 0.000, 0.500]],
  "e_form_ev_per_atom": -0.583,
  "vol_a3_per_atom": 34.51,
  "dos_at_fermi_per_ev_atom": 0.648,
  "energy_ev_per_atom": -3.425
}

---

Record 2
{
  "formula": "SrSn",
  "functional": "PBE",
  "state": "relaxed",
  "lattice": [[-1.937, 2.229, -3.817], [0.831, -3.909, -2.704], [-10.342, -3.534, 6.234]],
  "species": ["Sr", "Sr", "Sr", "Sr", "Sn", "Sn", "Sn", "Sn"],
  "frac_coords": [[0.443, 0.943, 0.885], [0.693, 0.693, 0.385], [0.307, 0.307, 0.615], [0.057, 0.557, 0.115], [0.586, 0.086, 0.173], [0.836, 0.836, 0.673], [0.164, 0.164, 0.327], [0.914, 0.414, 0.827]],
  "e_form_ev_per_atom": -0.662,
  "vol_a3_per_atom": 35.25,
  "dos_at_fermi_per_ev_atom": 0.531,
  "energy_ev_per_atom": -3.504
}

---

Record 3
{
  "formula": "Sr3Sn11",
  "functional": "PBE",
  "state": "relaxed",
  "lattice": [[5.387, 0.000, 1.427], [2.137, 8.723, 2.813], [0.391, -0.075, 9.403]],
  "species": ["Sr", "Sr", "Sr", "Sn", "Sn", "Sn", "Sn", "Sn", "Sn", "Sn", "Sn", "Sn", "Sn", "Sn"],
  "frac_coords": [[0.000, 0.000, 0.000], [0.697, 0.303, 0.303], [0.303, 0.697, 0.697], [0.000, 0.500, 0.500], [0.500, 0.312, 0.688], [0.500, 0.688, 0.312], [0.665, 0.971, 0.699], [0.335, 0.029, 0.301], [0.665, 0.699, 0.971], [0.335, 0.301, 0.029], [0.870, 0.863, 0.396], [0.130, 0.137, 0.604], [0.870, 0.396, 0.863], [0.130, 0.604, 0.137]],
  "e_form_ev_per_atom": -0.272,
  "vol_a3_per_atom": 31.28,
  "dos_at_fermi_per_ev_atom": 0.472,
  "energy_ev_per_atom": -3.777
}

---

What is the formula in the first record?
SrSn